Record 1
Compound: TcRu2
Source: Alexandria
Functional: GGA-PBE
Structure: optimized geometry

Summary:
Energy above the most stable polymorph in this dataset ... 38 kJ/mol of formula units
Formation energy ... 0.077 eV/atom

abc: 2.7169 2.7169 11.5056
angles: 90.00 90.00 90.00
Space group I4/mmm (No. 139)
Unique sites:
Tc (0.0000, 0.0000, 0.0000) [2 per cell]
Ru (0.0000, 0.0000, 0.3335) [4 per cell]


Record 2
Compound: TcRu2
Source: Alexandria
Functional: GGA-PBE
Structure: optimized geometry

Summary:
Energy above the most stable polymorph in this dataset ... 36 kJ/mol of formula units
Formation energy ... 0.070 eV/atom

abc: 2.7134 3.8383 8.1532
angles: 90.00 90.00 90.00
Space group Immm (No. 71)
Unique sites:
Tc (0.0000, 0.0000, 0.0000) [2 per cell]
Ru (0.0000, 0.0000, 0.3337) [4 per cell]